(1)
Entry from Alexandria: a relaxed structure of CsIrF3 (PBE).

It has space group Pm-3m (No. 221), with a = 4.2922 Å, b = 4.2922 Å, c = 4.2922 Å, α = 90.00°, β = 90.00° and γ = 90.00°. The inequivalent atoms are Cs at (0.0000, 0.0000, 0.0000), Ir at (0.5000, 0.5000, 0.5000) and F at (0.0000, 0.5000, 0.5000).

As for the total energy: -4.45 eV per atom. The value obtained for the formation energy without anion corrections is -1.3863 eV per atom.



(2)
Entry from Alexandria: a relaxed structure of NaAcSmBi (PBE).

It has space group F-43m (No. 216), with a = 8.0993 Å, b = 8.0993 Å, c = 8.0993 Å, α = 90.00°, β = 90.00° and γ = 90.00°. The inequivalent atoms are Na at (0.0000, 0.0000, 0.0000), Ac at (0.2500, 0.2500, 0.2500), Sm at (0.2500, 0.2500, 0.7500) and Bi at (0.0000, 0.0000, 0.5000).

As for the total energy: -3.74 eV per atom. As for the formation energy: -0.23 eV per atom.



(3)
Entry from Alexandria: a relaxed structure of ScTl2CuO (PBE).

It has space group P4/mmm (No. 123), with a = 4.9091 Å, b = 4.9091 Å, c = 5.0269 Å, α = 90.00°, β = 90.00° and γ = 90.00°. The inequivalent atoms are Sc at (0.0000, 0.0000, 0.0000), Tl at (0.0000, 0.5000, 0.5000), Cu at (0.0000, 0.0000, 0.5000) and O at (0.5000, 0.5000, 0.0000).

As for the total energy: -3.66 eV per atom. The value obtained for the formation energy without anion corrections is 0.3642 eV per atom.



(4)
Entry from Alexandria: a relaxed structure of BaBe2Pb (PBE).

It has space group C2/m (No. 12), with a = 6.9885 Å, b = 6.9700 Å, c = 4.0570 Å, α = 90.00°, β = 90.43° and γ = 90.00°. The inequivalent atoms are Ba at (0.0000, 0.0000, 0.0000), Be at (0.2500, 0.2500, 0.5000) and Pb at (0.0000, 0.5000, 0.0000).

As for the total energy: -2.55 eV per atom. As for the formation energy: 0.72 eV per atom.



(5)
Entry from Alexandria: a relaxed structure of Tb2Dy6ErMg (PBE).

It has space group C2/c (No. 15), with a = 9.8925 Å, b = 19.4456 Å, c = 6.5739 Å, α = 90.00°, β = 99.50° and γ = 90.00°. The inequivalent atoms are Tb at (0.2361, 0.0831, 0.4969), Dy at (0.0603, 0.3538, 0.0310), Dy at (0.1157, 0.0851, 0.9808), Dy at (0.1761, 0.2396, 0.7211), Er at (0.0000, 0.4924, 0.7500) and Mg at (0.0000, 0.2054, 0.2500).

As for the total energy: -4.19 eV per atom. As for the formation energy: 0.11 eV per atom.



(6)
Entry from Alexandria: a relaxed structure of CsTcMo (PBE).

It has space group P-1 (No. 2), with a = 4.0007 Å, b = 4.8923 Å, c = 11.4152 Å, α = 93.84°, β = 91.11° and γ = 102.48°. The inequivalent atoms are Cs at (0.2010, 0.2901, 0.1906), Tc at (0.3063, 0.7184, 0.5283) and Mo at (0.1961, 0.2075, 0.5883).

The energy above the lowest structure with this stoichiometry comes out at 120 meV/atom. As for the total energy: -6.53 eV per atom. As for the formation energy: 0.83 eV per atom.



(7)
Entry from Alexandria: a relaxed structure of Ba4Pa3TiN8 (PBE).

It has space group R-3m (No. 166, hexagonal axes), with a = 7.0974 Å, b = 7.0974 Å, c = 19.2789 Å, α = 90.00°, β = 90.00° and γ = 120.00°. The inequivalent atoms are Ba at (0.0000, 0.0000, 0.0000), Ba at (0.0000, 0.5000, 0.0000), Pa at (0.0000, 0.5000, 0.5000), Ti at (0.0000, 0.0000, 0.5000), N at (0.0000, 0.0000, 0.2239) and N at (0.0079, 0.5039, 0.2231).

As for the total energy: -8.09 eV per atom. The value obtained for the formation energy without anion corrections is -1.1693 eV per atom.



(8)
Entry from Alexandria: a relaxed structure of BaMn3 (PBE).

It has space group Pnma (No. 62), with a = 7.9021 Å, b = 6.9646 Å, c = 6.4691 Å, α = 90.00°, β = 90.00° and γ = 90.00°. The inequivalent atoms are Ba at (0.0241, 0.2500, 0.1258), Mn at (0.1305, 0.7500, 0.3539) and Mn at (0.1528, 0.0657, 0.5860).

The energy above the lowest structure with this stoichiometry comes out at 29 meV/atom. As for the total energy: -6.74 eV per atom. As for the formation energy: 0.62 eV per atom.